[1]
DFT (GGA-PBE) results for a geometry-optimized Np2HgO8 structure.

The uncorrected formation energy comes out at -1.8507 eV per atom.

It has space group P-1 (No. 2), with a = 4.0187 Å, b = 7.1154 Å, c = 7.6099 Å, α = 108.83°, β = 94.06° and γ = 90.11°. The distinct sites, in fractional coordinates, are Np at (0.0141, 0.3122, 0.1065), Hg at (0.5000, 0.0000, 0.5000), O at (0.0179, 0.6721, 0.1326), O at (0.0452, 0.2990, 0.3385), O at (0.3273, 0.9999, 0.0000) and O at (0.4814, 0.6127, 0.8611).

***

[2]
DFT (GGA-PBE) results for a geometry-optimized LiTeRu2 structure.

The uncorrected formation energy comes out at 0.5516 eV per atom.

It has space group I-42d (No. 122), with a = 7.4269 Å, b = 7.4269 Å, c = 5.1487 Å, α = 90.00°, β = 90.00° and γ = 90.00°. The distinct sites, in fractional coordinates, are Li at (0.0000, 0.0000, 0.0000), Te at (0.0000, 0.0000, 0.5000) and Ru at (0.2224, 0.2500, 0.6250).

***

[3]
DFT (GGA-PBE) results for a geometry-optimized GaSb2Te2 structure.

The uncorrected formation energy comes out at 0.0724 eV per atom. As for the energy above the most stable polymorph in this dataset: 0.000 eV/atom.

It has space group P4/mbm (No. 127), with a = 8.3893 Å, b = 8.3893 Å, c = 4.2749 Å, α = 90.00°, β = 90.00° and γ = 90.00°. The distinct sites, in fractional coordinates, are Ga at (0.0000, 0.0000, 0.0000), Sb at (0.1739, 0.3261, 0.0000) and Te at (0.1569, 0.6569, 0.5000).

***

[4]
DFT (GGA-PBE) results for a geometry-optimized PrHo4ErSe8 structure.

The uncorrected formation energy comes out at -1.7026 eV per atom.

It has space group R3m (No. 160, hexagonal axes), with a = 8.4418 Å, b = 8.4418 Å, c = 20.6567 Å, α = 90.00°, β = 90.00° and γ = 120.00°. The distinct sites, in fractional coordinates, are Pr at (0.0000, 0.0000, 0.0000), Ho at (0.0000, 0.0000, 0.2496), Ho at (0.0027, 0.5013, 0.1252), Er at (0.0000, 0.0000, 0.6241), Se at (0.0000, 0.0000, 0.3816), Se at (0.0000, 0.0000, 0.8631), Se at (0.0322, 0.5161, 0.3785) and Se at (0.1765, 0.3529, 0.2064).